# PBE Ac12Se3N5, optimized geometry
# * DOS(E_F): 17.52 states/eV/f.u.
# * theoretical density: 8.3 Mg/m³
# * formation energy from raw total energies: -18.68 eV per formula unit
data_Ac12Se3N5
_chemical_formula_sum 'Ac96 Se24 N40'
_space_group_name_H-M_alt 'I a -3 d'
_space_group_IT_number 230
_space_group_name_Hall '-I 4bd 2c 3'
_cell_length_a 16.962
_cell_length_b 16.962
_cell_length_c 16.962
_cell_angle_alpha 90.00
_cell_angle_beta 90.00
_cell_angle_gamma 90.00
loop_
_atom_site_label
_atom_site_type_symbol
_atom_site_fract_x
_atom_site_fract_y
_atom_site_fract_z
Ac1 Ac 0.036 0.052 0.650
Se1 Se 0.000 0.250 0.125
N1 N 0.000 0.000 0.000
N2 N 0.000 0.250 0.375